# 1
Material: AlMo2Cl
Method: DFT, PBE
State: optimized geometry

raw total energy: -6.54 eV per atom
magnetization: 0.00 μB per cell

Cell: 8.852 8.852 8.852 Å, 18.77 18.77 18.77°
Fractional positions:
Mo 0.002 0.002 0.002
Mo 0.498 0.498 0.498
Al 0.250 0.250 0.250
Cl 0.750 0.750 0.750

---

# 2
Material: SrYP2
Method: DFT, PBE
State: optimized geometry

ΔH_f (0 K): -977 meV/atom
magnetization: 0.00 μB per cell

Cell: 5.808 5.808 4.353 Å, 83.84 83.84 40.38°
Fractional positions:
P 0.034 0.034 0.834
P 0.223 0.223 0.421
Sr 0.492 0.492 0.359
Y 0.752 0.752 0.886

---

# 3
Material: Ba2LiSbN
Method: DFT, PBE
State: optimized geometry

raw total energy: -4.20 eV per atom
magnetization: 0.63 μB per cell

Cell: 5.715 5.715 4.338 Å, 90.00 90.00 90.00°
Each line ends with the local moment (μB).
Fractional positions:
Sb 0.500 0.500 0.500  0.03
Li 0.000 0.000 0.500  -0.01
Ba 0.000 0.500 0.000  0.01
Ba 0.500 0.000 0.000  0.01
N 0.000 0.000 0.000  0.36

---

- magnetization of number 1 (AlMo2Cl)?
  0.00 μB per cell

---

- Which formula does entry 2 have?
  SrYP2

---

- Among the records above, which one has the highest magnetization?
  Ba2LiSbN